Compound: Pr4NdDy3S8
Source: Alexandria
Functional: PBE-GGA
Structure: relaxed

Geometry as POSCAR:
```
Pr4NdDy3S8
1.0
4.004 2.312 6.661
-4.004 2.312 6.661
0.000 -4.624 6.661
Pr Nd Dy S
4 1 3 8
Cartesian
0.000 0.000 0.000
-2.002 -1.156 6.661
-2.002 1.156 13.322
0.000 2.312 6.661
0.000 0.000 9.992
-4.004 0.000 9.992
-2.002 1.156 3.331
2.002 1.156 3.331
-2.047 -1.182 11.558
0.000 0.000 4.864
0.000 -2.364 8.426
-2.047 1.182 8.426
2.047 -1.182 11.558
0.000 2.364 11.558
0.000 0.000 15.119
2.047 1.182 8.426
```

Output
- Theoretical density: 6.52 g/cm3
- Density of states at the Fermi level: 7.52 states/eV/cell
- Raw total energy: -102.9 eV per cell
- Symmetry: No. 166